Record 1
Computed, not measured: ZrIr2Au after structural relaxation at the PBE-GGA level of DFT.

## Properties
The energy relative to the elements comes out at -0.148 eV/atom. The energy comes out at -30.14 eV per cell. For the total magnetic moment, the calculation gives 0.00 μB/atom. As for the density of states at the Fermi level: 0.64 states/eV/atom.

Unit cell a=4.710 b=2.842 c=5.107 alpha=85.48 beta=90.00 gamma=90.00
Element x y z (fractional)
Au1 0.500 0.750 0.750
Ir1 0.000 0.951 0.982
Ir2 0.000 0.549 0.518
Zr1 0.500 0.250 0.250



Record 2
Computed, not measured: YAlB3 after structural relaxation at the PBE-GGA level of DFT.

## Properties
The energy relative to the elements comes out at 0.848 eV/atom. The energy comes out at -26.00 eV per cell. For the total magnetic moment, the calculation gives 0.00 μB/atom. As for the density of states at the Fermi level: 0.49 states/eV/atom.

Unit cell a=4.118 b=4.118 c=4.118 alpha=90.00 beta=90.00 gamma=90.00
Element x y z (fractional)
Y1 0.500 0.500 0.500
B1 0.000 0.500 0.000
B2 0.000 0.000 0.500
B3 0.500 0.000 0.000
Al1 0.000 0.000 0.000



Record 3
Computed, not measured: SrMnIr4 after structural relaxation at the PBE-GGA level of DFT.

## Properties
The energy relative to the elements comes out at 0.044 eV/atom. The energy comes out at -46.03 eV per cell. For the total magnetic moment, the calculation gives 0.82 μB/atom. As for the density of states at the Fermi level: 1.13 states/eV/atom.

Unit cell a=5.336 b=5.336 c=5.336 alpha=60.00 beta=60.00 gamma=60.00
Each line ends with the local moment (μB).
Element x y z (fractional)
Sr1 0.000 0.000 0.000  0.01
Mn1 0.750 0.750 0.750  4.17
Ir1 0.874 0.375 0.375  0.10
Ir2 0.375 0.375 0.874  0.10
Ir3 0.375 0.874 0.375  0.10
Ir4 0.375 0.375 0.375  0.10



Record 4
Computed, not measured: Sc12Mn5C15 after structural relaxation at the PBE-GGA level of DFT.

## Properties
The energy relative to the elements comes out at -0.383 eV/atom. The energy comes out at -272.44 eV per cell. For the total magnetic moment, the calculation gives 0.04 μB/atom. As for the density of states at the Fermi level: 0.50 states/eV/atom.

Unit cell a=4.696 b=9.990 c=9.990 alpha=120.00 beta=90.00 gamma=90.00
Each line ends with the local moment (μB).
Element x y z (fractional)
Sc1 0.000 0.185 0.732  0.03
Sc2 0.000 0.547 0.815  0.03
Sc3 0.000 0.268 0.453  0.03
Sc4 0.000 0.732 0.185  0.03
Sc5 0.000 0.815 0.547  0.03
Sc6 0.000 0.453 0.268  0.03
Sc7 0.500 0.559 0.559  0.01
Sc8 0.500 0.000 0.441  0.01
Sc9 0.500 0.441 0.000  0.01
Sc10 0.500 0.209 0.209  0.02
Sc11 0.500 0.000 0.791  0.02
Sc12 0.500 0.791 0.000  0.02
Mn1 0.000 0.850 0.850  0.01
Mn2 0.000 0.000 0.150  0.01
Mn3 0.000 0.150 0.000  0.01
Mn4 0.500 0.333 0.667  0.32
Mn5 0.500 0.667 0.333  0.32
C1 0.500 0.191 0.722  -0.01
C2 0.500 0.532 0.809  -0.01
C3 0.500 0.278 0.468  -0.01
C4 0.500 0.722 0.191  -0.01
C5 0.500 0.809 0.532  -0.01
C6 0.500 0.468 0.278  -0.01
C7 0.000 0.670 0.670  0.00
C8 0.000 0.000 0.330  0.00
C9 0.000 0.330 0.000  0.00
C10 0.000 0.536 0.536  0.00
C11 0.000 0.000 0.464  0.00
C12 0.000 0.464 0.000  0.00
C13 0.000 0.212 0.212  0.00
C14 0.000 0.000 0.788  0.00
C15 0.000 0.788 0.000  0.00



Record 5
Computed, not measured: AsP2Br after structural relaxation at the PBE-GGA level of DFT.

## Properties
The energy comes out at -13.84 eV per cell. For the total magnetic moment, the calculation gives 0.00 μB/atom. The calculation puts the raw formation energy at 79.8 kJ/mol of atoms. As for the density of states at the Fermi level: 0.92 states/eV/atom.

Unit cell a=6.850 b=6.850 c=6.850 alpha=148.94 beta=148.94 gamma=44.50
Element x y z (fractional)
As1 0.250 0.750 0.500
Br1 0.750 0.250 0.500
P1 0.000 0.000 0.000
P2 0.500 0.500 0.000



Record 6
Computed, not measured: Th2Ga4PdPt3 after structural relaxation at the PBE-GGA level of DFT.

## Properties
The energy relative to the elements comes out at -0.939 eV/atom. The energy comes out at -59.66 eV per cell. For the total magnetic moment, the calculation gives 0.00 μB/atom. As for the density of states at the Fermi level: 0.48 states/eV/atom.

Unit cell a=4.312 b=4.312 c=10.422 alpha=90.00 beta=90.00 gamma=90.00
Element x y z (fractional)
Th1 0.500 0.000 0.244
Th2 0.000 0.500 0.756
Ga1 0.500 0.500 0.000
Ga2 0.000 0.000 0.000
Ga3 0.500 0.000 0.628
Ga4 0.000 0.500 0.372
Pd1 0.500 0.500 0.500
Pt1 0.000 0.000 0.500
Pt2 0.500 0.000 0.865
Pt3 0.000 0.500 0.135



Record 7
Computed, not measured: TaAsOs2 after structural relaxation at the PBE-GGA level of DFT.

## Properties
The energy relative to the elements comes out at 0.142 eV/atom. The energy comes out at -38.39 eV per cell. For the total magnetic moment, the calculation gives 0.00 μB/atom. As for the density of states at the Fermi level: 0.60 states/eV/atom.

Unit cell a=4.880 b=4.880 c=4.648 alpha=84.13 beta=84.13 gamma=34.94
Element x y z (fractional)
As1 0.750 0.750 0.750
Os1 0.983 0.983 0.011
Os2 0.517 0.517 0.489
Ta1 0.250 0.250 0.250



Record 8
Computed, not measured: La2InH after structural relaxation at the PBE-GGA level of DFT.

## Properties
The energy comes out at -17.33 eV per cell. For the total magnetic moment, the calculation gives 0.00 μB/atom. As for the density of states at the Fermi level: 0.69 states/eV/atom.

Unit cell a=3.780 b=3.780 c=8.491 alpha=77.14 beta=77.14 gamma=60.00
Element x y z (fractional)
H1 0.000 0.000 0.000
In1 0.500 0.500 0.500
La1 0.272 0.272 0.183
La2 0.728 0.728 0.817



Record 9
Computed, not measured: Sc2Be2Cr after structural relaxation at the PBE-GGA level of DFT.

## Properties
The energy relative to the elements comes out at 0.561 eV/atom. The energy comes out at -53.87 eV per cell. For the total magnetic moment, the calculation gives 0.00 μB/atom. As for the density of states at the Fermi level: 0.08 states/eV/atom.

Unit cell a=7.128 b=7.128 c=3.004 alpha=90.00 beta=90.00 gamma=90.00
Element x y z (fractional)
Sc1 0.346 0.846 0.000
Sc2 0.846 0.654 0.000
Sc3 0.654 0.154 0.000
Sc4 0.154 0.346 0.000
Cr1 0.000 0.000 0.000
Cr2 0.500 0.500 0.000
Be1 0.145 0.645 0.500
Be2 0.645 0.855 0.500
Be3 0.855 0.355 0.500
Be4 0.355 0.145 0.500



Record 10
Computed, not measured: Pu2AlGa6Ru after structural relaxation at the PBE-GGA level of DFT.

## Properties
The energy relative to the elements comes out at -0.192 eV/atom. The energy comes out at -123.53 eV per cell. For the total magnetic moment, the calculation gives 1.14 μB/atom. As for the density of states at the Fermi level: 2.24 states/eV/atom.

Unit cell a=6.371 b=6.371 c=12.112 alpha=74.75 beta=74.75 gamma=60.00
Each line ends with the local moment (μB).
Element x y z (fractional)
Pu1 0.869 0.869 0.394  5.27
Pu2 0.131 0.131 0.606  5.27
Pu3 0.696 0.696 0.912  5.53
Pu4 0.304 0.304 0.088  5.53
Al1 0.000 0.000 0.000  -0.02
Al2 0.500 0.500 0.500  -0.02
Ga1 0.948 0.343 0.367  -0.01
Ga2 0.343 0.948 0.367  -0.01
Ga3 0.343 0.343 0.367  -0.01
Ga4 0.052 0.657 0.633  -0.01
Ga5 0.657 0.052 0.633  -0.01
Ga6 0.657 0.657 0.633  -0.01
Ga7 0.751 0.206 0.838  0.01
Ga8 0.206 0.751 0.838  0.01
Ga9 0.206 0.206 0.838  0.01
Ga10 0.249 0.794 0.162  0.01
Ga11 0.794 0.249 0.162  0.01
Ga12 0.794 0.794 0.162  0.01
Ru1 0.573 0.573 0.280  -0.01
Ru2 0.427 0.427 0.720  -0.01



Record 11
Computed, not measured: CsKTcO4 after structural relaxation at the PBE-GGA level of DFT.

## Properties
The energy comes out at -87.61 eV per cell. For the total magnetic moment, the calculation gives 0.14 μB/atom. The calculation puts the raw formation energy at -160.7 kJ/mol of atoms. As for the density of states at the Fermi level: 0.90 states/eV/atom.

Unit cell a=6.627 b=6.625 c=7.994 alpha=90.00 beta=108.19 gamma=90.00
Each line ends with the local moment (μB).
Element x y z (fractional)
Cs1 0.701 0.750 0.933  0.00
Cs2 0.299 0.250 0.067  0.00
K1 0.804 0.750 0.464  0.00
K2 0.196 0.250 0.536  0.00
Tc1 0.254 0.750 0.322  0.64
Tc2 0.746 0.250 0.678  0.64
O1 0.920 0.465 0.721  0.06
O2 0.080 0.965 0.279  0.06
O3 0.080 0.535 0.279  0.06
O4 0.920 0.035 0.721  0.06
O5 0.424 0.750 0.185  0.06
O6 0.576 0.250 0.815  0.06
O7 0.418 0.750 0.547  0.07
O8 0.582 0.250 0.453  0.07



Record 12
Computed, not measured: Tb6Nd2SmDy3 after structural relaxation at the PBE-GGA level of DFT.

## Properties
The energy relative to the elements comes out at 0.015 eV/atom. The energy comes out at -55.66 eV per cell. For the total magnetic moment, the calculation gives 0.00 μB/atom. As for the density of states at the Fermi level: 1.28 states/eV/atom.

Unit cell a=6.203 b=6.203 c=11.864 alpha=94.98 beta=94.98 gamma=119.97
Element x y z (fractional)
Tb1 0.915 0.582 0.747
Tb2 0.752 0.752 0.253
Tb3 0.085 0.418 0.253
Tb4 0.582 0.915 0.747
Tb5 0.248 0.248 0.747
Tb6 0.418 0.085 0.253
Nd1 0.333 0.667 0.000
Nd2 0.667 0.333 0.000
Sm1 0.000 0.000 0.000
Dy1 0.167 0.833 0.500
Dy2 0.833 0.167 0.500
Dy3 0.500 0.500 0.500